## NpCo2BiO8 (PBE with a Hubbard U)

Data for an optimized crystal structure of NpCo2BiO8.

Output
- raw total energy (eV for the cell shown) = -83.983
- magnetic moment (μB/f.u.) = 6.55
- DOS(E_F) (states/eV/f.u.) = 3.14

abc: 5.9107 5.9107 5.9107
angles: 109.39 109.39 109.63
Each line ends with the local moment (μB).
Fractional positions:
Np1 0.2500 0.7500 0.5000  0.16
Co1 0.7500 0.2500 0.5000  2.85
Co2 0.5000 0.5000 0.0000  2.65
Bi1 0.0000 0.0000 0.0000  0.01
O1 0.3726 0.0502 0.3224  0.12
O2 0.3032 0.5073 0.2041  0.04
O3 0.3032 0.0991 0.7959  0.04
O4 0.7278 0.0502 0.6776  0.12
O5 0.9009 0.6968 0.2041  0.04
O6 0.9498 0.2722 0.3224  0.12
O7 0.9498 0.6274 0.6776  0.12
O8 0.4927 0.6968 0.7959  0.04